This record from the Alexandria database describes a relaxed La12Co5Ru crystal. The functional is GGA-PBE.

Calculated values
Magnetic moment = 0.000 μB per cell
Energy of formation = -125.6 meV/atom
Raw total energy = -0.2168 Ha/atom

a = 7.1074 Å, b = 7.1074 Å, c = 13.0127 Å
α = 95.04°, β = 95.04°, γ = 120.13°
Positions (direct):
La 0.0352 0.3682 0.1129
La 0.1241 0.1241 0.3836
La 0.1999 0.5375 0.6163
La 0.2987 0.2987 0.8869
La 0.3682 0.0352 0.1129
La 0.4625 0.8001 0.3837
La 0.5375 0.1999 0.6163
La 0.6318 0.9648 0.8871
La 0.7013 0.7013 0.1131
La 0.8001 0.4625 0.3837
La 0.8759 0.8759 0.6164
La 0.9648 0.6318 0.8871
Co 0.0000 0.0000 0.0000
Co 0.1668 0.8332 0.5000
Co 0.3335 0.6665 0.0000
Co 0.6665 0.3335 0.0000
Co 0.8332 0.1668 0.5000
Ru 0.5000 0.5000 0.5000

***

This record from the Alexandria database describes a relaxed Tm4AlZn3 crystal. The functional is GGA-PBE.

Calculated values
Polymorph energy (0 for the lowest one) = 0.00 eV per formula unit
Magnetic moment = 0.000 μB per cell
Energy of formation = -363.5 meV/atom
Raw total energy = -0.1303 Ha/atom

a = 3.5383 Å, b = 4.9875 Å, c = 9.9709 Å
α = 90.00°, β = 90.00°, γ = 90.00°
Positions (direct):
Tm 0.0000 0.0000 0.0000
Tm 0.0000 0.0000 0.5000
Tm 0.0000 0.5000 0.2471
Tm 0.0000 0.5000 0.7529
Al 0.5000 0.5000 0.5000
Zn 0.5000 0.0000 0.2515
Zn 0.5000 0.0000 0.7485
Zn 0.5000 0.5000 0.0000

***

This record from the Alexandria database describes a relaxed Zn2Os crystal. The functional is GGA-PBE.

Calculated values
Magnetic moment = 0.000 μB per cell
Energy of formation = 138.2 meV/atom
Raw total energy = -0.1637 Ha/atom

a = 7.1420 Å, b = 7.1420 Å, c = 4.4371 Å
α = 90.00°, β = 90.00°, γ = 157.62°
Positions (direct):
Zn 0.0593 0.9407 0.7500
Zn 0.3888 0.6112 0.7500
Zn 0.6112 0.3888 0.2500
Zn 0.9407 0.0593 0.2500
Os 0.2779 0.7221 0.2500
Os 0.7221 0.2779 0.7500

***

This record from the Alexandria database describes a relaxed Dy2Zn4Cu5 crystal. The functional is GGA-PBE.

Calculated values
Magnetic moment = 0.000 μB per cell
Energy of formation = -208.2 meV/atom
Raw total energy = -0.1239 Ha/atom

a = 9.0239 Å, b = 8.3224 Å, c = 5.1290 Å
α = 80.47°, β = 65.44°, γ = 34.09°
Positions (direct):
Dy 0.1336 0.1336 0.8664
Dy 0.8664 0.8664 0.1336
Zn 0.2144 0.5284 0.4716
Zn 0.4716 0.7856 0.2144
Zn 0.5284 0.2144 0.7856
Zn 0.7856 0.4716 0.5284
Cu 0.0000 0.0000 0.5000
Cu 0.2500 0.2500 0.2500
Cu 0.5000 0.5000 0.0000
Cu 0.5000 0.5000 0.5000
Cu 0.7500 0.7500 0.7500